DFT (PBE-GGA) results for an optimized crystal structure of YCu2BiN.

Unit cell a=4.2846 b=4.2846 c=4.6969 alpha=90.00 beta=90.00 gamma=90.00
With the nearest neighbours (Å) after each atom.
Space group P4/mmm (No. 123)
Asymmetric unit:
Y (0.0000, 0.0000, 0.0000)  2 N 2.35
Cu (0.0000, 0.5000, 0.5000)  2 N 2.14
Bi (0.5000, 0.5000, 0.0000)  4 Y 3.03, 8 Cu 3.18
N (0.0000, 0.0000, 0.5000)  4 Cu 2.14, 2 Y 2.35

Properties
Formation energy from raw total energies: -0.176 eV per atom
ρ: 8.45 g cm⁻³